Compound: AgSe2SBr
Source: Alexandria via LeMat-Bulk
Functional: PBE-GGA
Structure: optimized geometry

a = 5.1347 Å, b = 5.1347 Å, c = 5.0077 Å
α = 90.00°, β = 90.00°, γ = 90.00°
With the nearest neighbours (Å) after each atom.
Atoms (fractional coordinates):
S  0.5000  0.5000  0.5000  8 Se 3.59, 4 Br 3.63
Se  0.0000  0.5000  0.0000  2 Ag 2.57
Se  0.5000  0.0000  0.0000  2 Ag 2.57
Br  0.0000  0.0000  0.5000  2 Ag 2.50
Ag  0.0000  0.0000  0.0000  2 Br 2.50, 4 Se 2.57

**Polymorph energy (0 for the lowest one)**: 388.2 meV per atom
**Calculated volume**: 26.406 Å³/atom
**Formation energy (no corrections)**: 0.905 eV/atom
**N(E_F)**: 1.24 states/eV per atom
**Symmetry**: No. 123

Compound: AgSe2SBr
Source: Alexandria via LeMat-Bulk
Functional: PBE-GGA
Structure: optimized geometry

a = 4.9532 Å, b = 4.9532 Å, c = 5.0014 Å
α = 90.00°, β = 90.00°, γ = 90.00°
With the nearest neighbours (Å) after each atom.
Atoms (fractional coordinates):
S  0.0000  0.0000  0.0000  4 Se 2.48, 2 Br 2.50
Se  0.0000  0.5000  0.0000  2 S 2.48
Se  0.5000  0.0000  0.0000  2 S 2.48
Br  0.0000  0.0000  0.5000  2 S 2.50
Ag  0.5000  0.5000  0.5000  4 Br 3.50, 8 Se 3.52

**Polymorph energy (0 for the lowest one)**: 0.0 meV per atom
**Calculated volume**: 24.540 Å³/atom
**Formation energy (no corrections)**: 0.517 eV/atom
**N(E_F)**: 0.97 states/eV per atom
**Symmetry**: No. 123

Compound: Sr2AgS2Br2
Source: Alexandria via LeMat-Bulk
Functional: PBE-GGA
Structure: optimized geometry

a = 4.8895 Å, b = 4.8895 Å, c = 8.9036 Å
α = 105.94°, β = 105.94°, γ = 90.00°
With the nearest neighbours (Å) after each atom.
Atoms (fractional coordinates):
Sr  0.3813  0.3813  0.7626  1 Br 3.11, 4 S 3.13
Sr  0.6187  0.6187  0.2374  1 Br 3.11, 4 S 3.13
Ag  0.0000  0.0000  0.0000  4 S 2.44
S  0.0000  0.5000  0.0000  2 Ag 2.44
S  0.5000  0.0000  0.0000  2 Ag 2.44
Br  0.1918  0.1918  0.3836  1 Sr 3.11, 1 Ag 3.15
Br  0.8082  0.8082  0.6164  1 Sr 3.11, 1 Ag 3.15

**Calculated volume**: 28.023 Å³/atom
**Formation energy (no corrections)**: -1.435 eV/atom
**N(E_F)**: 0.23 states/eV per atom
**Symmetry**: No. 139

Compound: SrAgSBr
Source: Alexandria via LeMat-Bulk
Functional: PBE-GGA
Structure: optimized geometry

a = 4.3932 Å, b = 4.3932 Å, c = 14.0265 Å
α = 80.99°, β = 80.99°, γ = 60.00°
With the nearest neighbours (Å) after each atom.
Atoms (fractional coordinates):
Sr  0.0837  0.0837  0.7489  3 S 3.03, 3 Br 3.04
Sr  0.9163  0.9163  0.2511  3 S 3.03, 3 Br 3.04
Ag  0.6878  0.6878  0.9365  4 S 2.68-2.70
Ag  0.3122  0.3122  0.0635  4 S 2.68-2.70
S  0.6230  0.6230  0.1310  4 Ag 2.68-2.70
S  0.3770  0.3770  0.8690  4 Ag 2.68-2.70
Br  0.7910  0.7910  0.6271  3 Sr 3.04
Br  0.2090  0.2090  0.3729  3 Sr 3.04

**Calculated volume**: 28.823 Å³/atom
**Formation energy (no corrections)**: -1.332 eV/atom
**N(E_F)**: 0.00 states/eV per atom
**Symmetry**: No. 166

Compound: SrAgS2Br
Source: Alexandria via LeMat-Bulk
Functional: PBE-GGA
Structure: optimized geometry

a = 5.3219 Å, b = 5.3219 Å, c = 5.4499 Å
α = 90.00°, β = 90.00°, γ = 90.00°
With the nearest neighbours (Å) after each atom.
Atoms (fractional coordinates):
Sr  0.0000  0.0000  0.5000  2 Br 2.72
S  0.0000  0.5000  0.0000  2 Br 2.66
S  0.5000  0.0000  0.0000  2 Br 2.66
Br  0.0000  0.0000  0.0000  4 S 2.66, 2 Sr 2.72
Ag  0.5000  0.5000  0.5000  4 Sr 3.76, 8 S 3.81

**Calculated volume**: 30.871 Å³/atom
**Formation energy (no corrections)**: 0.245 eV/atom
**N(E_F)**: 0.59 states/eV per atom
**Symmetry**: No. 123

Compound: AgTeS2Br
Source: Alexandria via LeMat-Bulk
Functional: PBE-GGA
Structure: optimized geometry

a = 5.4817 Å, b = 6.2855 Å, c = 8.0303 Å
α = 100.80°, β = 90.00°, γ = 90.00°
With the nearest neighbours (Å) after each atom.
Atoms (fractional coordinates):
Ag  0.2500  0.6728  0.9196  1 S 2.48, 1 Br 2.60
Ag  0.7500  0.3272  0.0804  1 S 2.48, 1 Br 2.60
Te  0.2500  0.6545  0.3901  2 S 2.39-2.44
Te  0.7500  0.3455  0.6099  2 S 2.39-2.44
S  0.7500  0.6298  0.4401  1 Te 2.44
S  0.2500  0.3702  0.5599  1 Te 2.44
S  0.7500  0.5834  0.8802  1 Te 2.39, 1 Ag 2.48
S  0.2500  0.4166  0.1198  1 Te 2.39, 1 Ag 2.48
Br  0.2500  0.9969  0.7605  1 Ag 2.60
Br  0.7500  0.0031  0.2395  1 Ag 2.60

**Calculated volume**: 27.178 Å³/atom
**Formation energy (no corrections)**: -0.068 eV/atom
**N(E_F)**: 0.12 states/eV per atom
**Symmetry**: No. 11

Which formula does entry 2 have?
AgSe2SBr

Which of these has the highest N(E_F)?
number 1

Among the records above, which one has the lowest calculated volume?
number 2

What did the second record say?
Compound: AgSe2SBr
Source: Alexandria via LeMat-Bulk
Functional: PBE-GGA
Structure: optimized geometry

a = 4.9532 Å, b = 4.9532 Å, c = 5.0014 Å
α = 90.00°, β = 90.00°, γ = 90.00°
With the nearest neighbours (Å) after each atom.
Atoms (fractional coordinates):
S  0.0000  0.0000  0.0000  4 Se 2.48, 2 Br 2.50
Se  0.0000  0.5000  0.0000  2 S 2.48
Se  0.5000  0.0000  0.0000  2 S 2.48
Br  0.0000  0.0000  0.5000  2 S 2.50
Ag  0.5000  0.5000  0.5000  4 Br 3.50, 8 Se 3.52

**Polymorph energy (0 for the lowest one)**: 0.0 meV per atom
**Calculated volume**: 24.540 Å³/atom
**Formation energy (no corrections)**: 0.517 eV/atom
**N(E_F)**: 0.97 states/eV per atom
**Symmetry**: No. 123